Entry i
Computed, not measured: a relaxed CaBI3 crystal at the PBE level of DFT.

Lattice parameters (Å, degrees): 6.085 6.085 6.085 90.00 90.00 90.00
Positions (direct):
Ca1 0.000 0.000 0.000
B1 0.500 0.500 0.500
I1 0.000 0.000 0.500
I2 0.000 0.500 0.000
I3 0.500 0.000 0.000

Space group: Pm-3m (221)
Total moment (Bohr magnetons per cell): 0.00

Entry ii
Computed, not measured: a relaxed CaBI3 crystal at the PBE level of DFT.

Lattice parameters (Å, degrees): 5.287 5.287 5.287 90.00 90.00 90.00
Positions (direct):
Ca1 0.000 0.000 0.000
B1 0.500 0.500 0.500
I1 0.000 0.500 0.500
I2 0.500 0.000 0.500
I3 0.500 0.500 0.000

Space group: Pm-3m (221)
Total moment (Bohr magnetons per cell): 0.00

Bottom line: entry ii, by a margin of 244 meV per atom.

Entry i
Computed, not measured: a relaxed CaB2I crystal at the PBE level of DFT.

Lattice parameters (Å, degrees): 4.746 4.746 4.746 60.00 60.00 60.00
Positions (direct):
Ca1 0.000 0.000 0.000
B1 0.250 0.250 0.250
B2 0.750 0.750 0.750
I1 0.500 0.500 0.500

Space group: Fm-3m (225)
Total moment (Bohr magnetons per cell): 0.00

Entry ii
Computed, not measured: a relaxed CaB2I crystal at the PBE level of DFT.

Lattice parameters (Å, degrees): 5.937 5.937 5.937 111.96 111.96 104.59
Positions (direct):
Ca1 0.000 0.000 0.000
Ca2 0.750 0.250 0.500
B1 0.171 0.125 0.546
B2 0.375 0.829 0.954
B3 0.579 0.625 0.454
B4 0.875 0.421 0.046
I1 0.250 0.750 0.500
I2 0.500 0.500 0.000

Space group: I-42d (122)
Total moment (Bohr magnetons per cell): 0.00

Bottom line: entry ii, by a margin of 203 meV per atom.

Entry i
Computed, not measured: a relaxed CaBI2O crystal at the PBE level of DFT.

Lattice parameters (Å, degrees): 6.152 6.152 4.314 90.00 90.00 90.00
Positions (direct):
Ca1 0.000 0.000 0.000
B1 0.500 0.500 0.500
I1 0.000 0.500 0.000
I2 0.500 0.000 0.000
O1 0.000 0.000 0.500

Space group: P4/mmm (123)
Total moment (Bohr magnetons per cell): 1.01

Entry ii
Computed, not measured: a relaxed CaBI2O crystal at the PBE level of DFT.

Lattice parameters (Å, degrees): 5.669 5.669 3.408 90.00 90.00 90.00
Positions (direct):
Ca1 0.000 0.000 0.000
B1 0.500 0.500 0.500
I1 0.000 0.500 0.500
I2 0.500 0.000 0.500
O1 0.500 0.500 0.000

Space group: P4/mmm (123)
Total moment (Bohr magnetons per cell): 0.00

Bottom line: entry ii, by a margin of 524 meV per atom.